1.
VASP calculation (GGA-PBE) on a relaxed MnTe2Au crystal.

```
MnTe2Au
1.0
3.535 -4.142 0.000
3.535 4.142 0.000
-3.460 0.000 5.850
Mn Te Au
2 4 2
Direct
0.163 0.837 0.500 Mn
0.837 0.163 0.000 Mn
0.215 0.324 0.421 Te
0.324 0.215 0.921 Te
0.683 0.954 0.560 Te
0.954 0.683 0.060 Te
0.410 0.732 0.914 Au
0.732 0.410 0.414 Au
```

Output
formation energy without anion corrections = 0.24 eV per atom
offset from the most stable computed form = 326 meV per atom

2.
VASP calculation (GGA-PBE) on a relaxed NiHgW2 crystal.

```
NiHgW2
1.0
0.000 3.186 3.186
3.186 0.000 3.186
3.186 3.186 0.000
Ni Hg W
1 1 2
Direct
0.000 0.000 0.000 Ni
0.750 0.750 0.750 Hg
0.250 0.250 0.250 W
0.500 0.500 0.500 W
```

Output
formation energy from the elements = 0.68 eV per atom

3.
VASP calculation (GGA-PBE) on a relaxed SrGe2 crystal.

```
SrGe2
1.0
-1.816 1.816 5.558
1.816 -1.816 5.558
1.816 1.816 -5.558
Sr Ge
1 2
Direct
0.000 0.000 0.000 Sr
0.297 0.297 0.000 Ge
0.703 0.703 0.000 Ge
```

Output
formation energy from the elements = -0.29 eV per atom

4.
VASP calculation (GGA-PBE) on a relaxed Mn2CuSb crystal.

```
Mn2CuSb
1.0
-1.931 1.931 3.889
1.931 -1.931 3.889
1.931 1.931 -3.889
Mn Cu Sb
2 1 1
Direct
0.250 0.750 0.500 Mn
0.750 0.250 0.500 Mn
0.000 0.000 0.000 Cu
0.500 0.500 0.000 Sb
```

Output
formation energy without anion corrections = 0.10 eV per atom

5.
VASP calculation (GGA-PBE) on a relaxed ReSnS crystal.

```
ReSnS
1.0
3.245 0.000 0.000
0.126 4.537 0.000
0.648 1.208 7.619
Re Sn S
2 2 2
Direct
0.209 0.399 0.141 Re
0.791 0.601 0.859 Re
0.295 0.113 0.813 Sn
0.705 0.887 0.187 Sn
0.155 0.323 0.444 S
0.845 0.677 0.556 S
```

Output
formation energy without anion corrections = 0.24 eV per atom

6.
VASP calculation (GGA-PBE) on a relaxed RbSc2BeBr crystal.

```
RbSc2BeBr
1.0
4.838 0.000 0.000
0.000 4.838 0.000
0.000 0.000 9.251
Rb Sc Be Br
1 2 1 1
Direct
0.000 0.000 0.000 Rb
0.000 0.500 0.500 Sc
0.500 0.000 0.500 Sc
0.500 0.500 0.500 Be
0.500 0.500 0.000 Br
```

Output
formation energy without anion corrections = 0.31 eV per atom

Q: Which formula does entry 2 have?
A: NiHgW2